No. 1
The following is a PBE calculation of an optimized crystal structure of BeCd2Se, from the Alexandria database.

Cell and atoms, written as extended XYZ:
```
8
Lattice="-3.338 3.338 4.329 3.338 -3.338 4.329 3.338 3.338 -4.329" Properties=species:S:1:pos:R:3 pbc="T T T"
Be 0.000 0.000 0.000
Be 0.000 3.338 2.164
Cd 5.007 1.505 -1.082
Cd 1.505 1.669 1.082
Cd -1.669 1.833 3.247
Cd 1.833 1.669 5.411
Se 3.338 0.000 2.164
Se 0.000 0.000 4.329
```

Summary:
The calculation puts the total magnetic moment at 0.00 μB/f.u. The calculation puts the uncorrected energy at -15.8 eV/cell. Its formation energy (no corrections) is 0.2825 eV/atom. The distance to the lowest polymorph of the same formula comes out at 28.88 kJ per mole of atoms.


No. 2
The following is a PBE calculation of an optimized crystal structure of Be2CdSe, from the Alexandria database.

Cell and atoms, written as extended XYZ:
```
4
Lattice="3.300 0.000 0.000 0.000 3.300 0.000 0.000 0.000 6.137" Properties=species:S:1:pos:R:3 pbc="T T T"
Be 0.000 0.000 0.000
Be 1.650 1.650 1.607
Cd 0.000 0.000 2.649
Se 1.650 1.650 5.555
```

Summary:
The calculation puts the total magnetic moment at 0.00 μB/f.u. The calculation puts the uncorrected energy at -11.0 eV/cell. Its formation energy (no corrections) is 0.2162 eV/atom. The distance to the lowest polymorph of the same formula comes out at 11.21 kJ per mole of atoms.